{
  "formula": "AlFe5Si",
  "functional": "GGA-PBE",
  "state": "relaxed",
  "lattice_angstrom": [[-0.998, -3.900, -1.837], [2.922, 2.341, -2.358], [3.737, -2.138, 2.509]],
  "species": ["Fe", "Fe", "Fe", "Fe", "Fe", "Si", "Al"],
  "frac_coords": [[0.000, 0.500, 0.248], [0.500, 0.000, 0.248], [0.000, 0.000, 0.500], [0.500, 0.000, 0.752], [0.000, 0.500, 0.752], [0.500, 0.500, 0.500], [0.000, 0.000, 0.000]],
  "spacegroup": "Cmmm (65)"
}


{
  "formula": "Al4Fe5Si",
  "functional": "GGA-PBE",
  "state": "relaxed",
  "lattice_angstrom": [[2.842, 0.000, 0.000], [0.000, 2.842, 0.000], [0.000, 0.000, 14.298]],
  "species": ["Si", "Fe", "Fe", "Fe", "Fe", "Fe", "Al", "Al", "Al", "Al"],
  "frac_coords": [[0.000, 0.000, 0.000], [0.500, 0.500, 0.297], [0.500, 0.500, 0.909], [0.500, 0.500, 0.500], [0.500, 0.500, 0.091], [0.500, 0.500, 0.703], [0.000, 0.000, 0.602], [0.000, 0.000, 0.805], [0.000, 0.000, 0.195], [0.000, 0.000, 0.398]],
  "spacegroup": "P4/mmm (123)"
}


{
  "formula": "AlFe4Si",
  "functional": "GGA-PBE",
  "state": "relaxed",
  "lattice_angstrom": [[2.539, 0.000, 0.000], [0.000, 6.765, 0.006], [0.000, -0.004, 4.282]],
  "species": ["Fe", "Fe", "Fe", "Fe", "Al", "Si"],
  "frac_coords": [[0.000, 0.810, 0.500], [0.500, 0.325, 0.000], [0.500, 0.675, 0.000], [0.000, 0.190, 0.500], [0.000, 0.000, 0.000], [0.500, 0.500, 0.500]],
  "polymorph_energy_mev_per_atom": 0,
  "spacegroup": "Pmmm (47)"
}


{
  "formula": "Al2FeSi",
  "functional": "GGA-PBE",
  "state": "relaxed",
  "lattice_angstrom": [[4.562, 0.001, 0.000], [1.531, 4.298, 0.000], [-3.046, -2.149, 2.630]],
  "species": ["Al", "Al", "Si", "Fe"],
  "frac_coords": [[0.250, 0.750, 0.500], [0.000, 0.000, 0.000], [0.750, 0.250, 0.500], [0.500, 0.500, 0.000]],
  "spacegroup": "I-4m2 (119)"
}


Raw formation energy (computed, eV/atom): -0.02 -0.38 -0.06 -0.08
M_tot (computed, Bohr magnetons per cell): 10.6 2.7 8.1 0.0